Entry 1:
# HoTm12Sc7 | Alexandria via LeMat-Bulk | PBE | relaxed
# * calculated formation energy: 0.1751 eV/atom
# * N(E_F): 114.15 states/eV per cell
data_HoTm12Sc7
_cell_length_a 14.5318
_cell_length_b 14.5318
_cell_length_c 9.4292
_cell_angle_alpha 90.00
_cell_angle_beta 90.00
_cell_angle_gamma 120.00
_symmetry_space_group_name_H-M 'R -3'
_symmetry_Int_Tables_number 148
_symmetry_space_group_name_Hall '-R 3'
loop_
_atom_site_label
_atom_site_type_symbol
_atom_site_fract_x
_atom_site_fract_y
_atom_site_fract_z
Ho1 Ho 0.0000 0.0000 0.0000
Tm1 Tm 0.0334 0.2549 0.5805
Tm2 Tm 0.0385 0.1876 0.2572
Sc1 Sc 0.0000 0.0000 0.5000
Sc2 Sc 0.0737 0.2480 0.9327

Entry 2:
# Ho2TmSc5 | Alexandria via LeMat-Bulk | PBE | relaxed
# * calculated formation energy: 0.0202 eV/atom
# * N(E_F): 62.83 states/eV per cell
data_Ho2TmSc5
_cell_length_a 6.831
_cell_length_b 10.628
_cell_length_c 11.837
_cell_angle_alpha 90.00
_cell_angle_beta 90.00
_cell_angle_gamma 90.00
_symmetry_space_group_name_H-M 'F m m 2'
_symmetry_Int_Tables_number 42
_symmetry_space_group_name_Hall 'F 2 -2'
loop_
_atom_site_label
_atom_site_type_symbol
_atom_site_fract_x
_atom_site_fract_y
_atom_site_fract_z
Ho1 Ho 0.000 0.246 0.000
Tm1 Tm 0.000 0.000 0.330
Sc1 Sc 0.000 0.000 0.829
Sc2 Sc 0.248 0.000 0.584
Sc3 Sc 0.250 0.250 0.247

Entry 3:
# Ho2Tm2Sc7 | Alexandria via LeMat-Bulk | PBE | relaxed
# * calculated formation energy: 0.1622 eV/atom
# * N(E_F): 38.15 states/eV per cell
data_Ho2Tm2Sc7
_cell_length_a 6.297
_cell_length_b 10.999
_cell_length_c 8.894
_cell_angle_alpha 90.00
_cell_angle_beta 103.79
_cell_angle_gamma 90.00
_symmetry_space_group_name_H-M 'C 1 2/m 1'
_symmetry_Int_Tables_number 12
_symmetry_space_group_name_Hall '-C 2y'
loop_
_atom_site_label
_atom_site_type_symbol
_atom_site_fract_x
_atom_site_fract_y
_atom_site_fract_z
Ho1 Ho 0.112 0.000 0.361
Tm1 Tm 0.000 0.297 0.500
Sc1 Sc 0.000 0.000 0.000
Sc2 Sc 0.052 0.500 0.212
Sc3 Sc 0.219 0.244 0.162

Entry 4:
# Ho3Tm7Sc2 | Alexandria via LeMat-Bulk | PBE | relaxed
# * calculated formation energy: 0.2409 eV/atom
# * N(E_F): 18.94 states/eV per cell
data_Ho3Tm7Sc2
_cell_length_a 3.541
_cell_length_b 5.375
_cell_length_c 19.910
_cell_angle_alpha 90.00
_cell_angle_beta 95.15
_cell_angle_gamma 90.00
_symmetry_space_group_name_H-M 'P 1 2/m 1'
_symmetry_Int_Tables_number 10
_symmetry_space_group_name_Hall '-P 2y'
loop_
_atom_site_label
_atom_site_type_symbol
_atom_site_fract_x
_atom_site_fract_y
_atom_site_fract_z
Ho1 Ho 0.000 0.000 0.000
Ho2 Ho 0.328 0.500 0.662
Tm1 Tm 0.091 0.500 0.177
Tm2 Tm 0.215 0.000 0.428
Tm3 Tm 0.430 0.000 0.864
Tm4 Tm 0.500 0.500 0.000
Sc1 Sc 0.141 0.000 0.275

Entry 5:
# Ho3TmSc3 | Alexandria via LeMat-Bulk | PBE | relaxed
# * calculated formation energy: 0.0220 eV/atom
# * N(E_F): 28.28 states/eV per cell
data_Ho3TmSc3
_cell_length_a 9.1810
_cell_length_b 9.1810
_cell_length_c 5.4167
_cell_angle_alpha 90.00
_cell_angle_beta 90.00
_cell_angle_gamma 120.00
_symmetry_space_group_name_H-M 'P 63/m'
_symmetry_Int_Tables_number 176
_symmetry_space_group_name_Hall '-P 6c'
loop_
_atom_site_label
_atom_site_type_symbol
_atom_site_fract_x
_atom_site_fract_y
_atom_site_fract_z
Ho1 Ho 0.0472 0.8026 0.2500
Tm1 Tm 0.3333 0.6667 0.2500
Sc1 Sc 0.0956 0.6147 0.7500

Entry 6:
# Ho6TmSc4 | Alexandria via LeMat-Bulk | PBE | relaxed
# * calculated formation energy: 0.3181 eV/atom
# * N(E_F): 32.66 states/eV per cell
data_Ho6TmSc4
_cell_length_a 6.335
_cell_length_b 6.335
_cell_length_c 16.430
_cell_angle_alpha 90.00
_cell_angle_beta 90.00
_cell_angle_gamma 90.00
_symmetry_space_group_name_H-M 'I -4 2 m'
_symmetry_Int_Tables_number 121
_symmetry_space_group_name_Hall 'I -4 2'
loop_
_atom_site_label
_atom_site_type_symbol
_atom_site_fract_x
_atom_site_fract_y
_atom_site_fract_z
Ho1 Ho 0.000 0.500 0.000
Ho2 Ho 0.188 0.188 0.178
Tm1 Tm 0.000 0.000 0.000
Sc1 Sc 0.175 0.175 0.374

no.,relative energy among the computed polymorphs (eV/atom),ρ (g/cm3)
1,0.000,7.24
2,0.000,5.59
3,0.000,5.45
4,0.119,7.78
5,0.000,6.71
6,0.158,6.74